(1)
Here is a relaxed structure of CsTc2Ag from the Alexandria database. Energies are from GGA-PBE.

Cell: 4.745 4.745 4.745 Å, 60.00 60.00 60.00°
Positions (direct):
Cs (0.500, 0.500, 0.500)
Tc (0.250, 0.250, 0.250)
Tc (0.750, 0.750, 0.750)
Ag (0.000, 0.000, 0.000)

Values from the calculation:
* total energy: -4.15 eV/atom
* SG: No. 225
* total magnetization: 0.00 μB per formula unit
* excess energy over the best structure of this formula in the dataset: 467 meV per atom
* calculated density: 9.60 g/cm3
* crystal system: cubic



(2)
Here is a relaxed structure of Ba3Sn2S7 from the Alexandria database. Energies are from GGA-PBE.

Cell: 6.946 11.254 18.941 Å, 80.64 90.00 90.00°
Positions (direct):
Ba (0.768, 0.247, 0.337)
Ba (0.789, 0.488, 0.613)
Ba (0.211, 0.512, 0.387)
Ba (0.251, 0.941, 0.389)
Ba (0.749, 0.059, 0.611)
Ba (0.249, 0.941, 0.889)
Ba (0.268, 0.753, 0.163)
Ba (0.289, 0.512, 0.887)
Ba (0.232, 0.753, 0.663)
Ba (0.751, 0.059, 0.111)
Ba (0.732, 0.247, 0.837)
Ba (0.711, 0.488, 0.113)
Sn (0.312, 0.270, 0.698)
Sn (0.789, 0.792, 0.496)
Sn (0.812, 0.730, 0.802)
Sn (0.688, 0.730, 0.302)
Sn (0.711, 0.792, 0.996)
Sn (0.211, 0.208, 0.504)
Sn (0.188, 0.270, 0.198)
Sn (0.289, 0.208, 0.004)
S (0.564, 0.682, 0.429)
S (0.176, 0.231, 0.883)
S (0.719, 0.996, 0.942)
S (0.541, 0.556, 0.264)
S (0.586, 0.320, 0.989)
S (0.479, 0.090, 0.747)
S (0.030, 0.748, 0.306)
S (0.219, 0.004, 0.558)
S (0.436, 0.318, 0.571)
S (0.281, 0.004, 0.058)
S (0.936, 0.682, 0.929)
S (0.041, 0.444, 0.236)
S (0.459, 0.444, 0.736)
S (0.530, 0.252, 0.194)
S (0.086, 0.680, 0.511)
S (0.324, 0.231, 0.383)
S (0.521, 0.910, 0.253)
S (0.914, 0.320, 0.489)
S (0.414, 0.680, 0.011)
S (0.781, 0.996, 0.442)
S (0.970, 0.252, 0.694)
S (0.824, 0.769, 0.117)
S (0.959, 0.556, 0.764)
S (0.979, 0.910, 0.753)
S (0.470, 0.748, 0.806)
S (0.676, 0.769, 0.617)
S (0.021, 0.090, 0.247)
S (0.064, 0.318, 0.071)

Values from the calculation:
* total energy: -4.85 eV/atom
* SG: No. 14
* total magnetization: 0.00 μB per formula unit
* energy relative to the elements, uncorrected: -1295 meV/atom
* calculated density: 3.97 g/cm3
* crystal system: monoclinic



(3)
Here is a relaxed structure of Ba2Li3Cd12Pt from the Alexandria database. Energies are from GGA-PBE.

Cell: 11.234 11.234 11.234 Å, 37.73 37.73 37.73°
Positions (direct):
Ba (0.648, 0.648, 0.648)
Ba (0.352, 0.352, 0.352)
Li (0.500, 0.000, 0.000)
Li (0.000, 0.500, 0.000)
Li (0.000, 0.000, 0.500)
Cd (0.410, 0.410, 0.817)
Cd (0.924, 0.924, 0.355)
Cd (0.355, 0.924, 0.924)
Cd (0.817, 0.410, 0.410)
Cd (0.924, 0.355, 0.924)
Cd (0.410, 0.817, 0.410)
Cd (0.590, 0.590, 0.183)
Cd (0.076, 0.076, 0.645)
Cd (0.645, 0.076, 0.076)
Cd (0.183, 0.590, 0.590)
Cd (0.076, 0.645, 0.076)
Cd (0.590, 0.183, 0.590)
Pt (0.000, 0.000, 0.000)

Values from the calculation:
* total energy: -1.61 eV/atom
* SG: No. 166
* total magnetization: 0.00 μB per formula unit
* calculated density: 6.41 g/cm3
* crystal system: trigonal



(4)
Here is a relaxed structure of TbCeO from the Alexandria database. Energies are from GGA-PBE.

Cell: 3.412 3.412 12.251 Å, 90.00 90.00 120.00°
Last column: magnetic moment on the atom in μB.
Positions (direct):
Tb (0.667, 0.333, 0.211)  0.03
Tb (0.667, 0.333, 0.687)  0.03
Ce (0.667, 0.333, 0.949)  1.09
Ce (0.333, 0.667, 0.449)  0.56
O (0.333, 0.667, 0.079)  -0.01
O (0.333, 0.667, 0.819)  -0.01

Values from the calculation:
* total energy: -6.76 eV/atom
* SG: No. 187
* total magnetization: 1.10 μB per formula unit
* energy relative to the elements, uncorrected: -1589 meV/atom
* excess energy over the best structure of this formula in the dataset: 123 meV per atom
* calculated density: 8.47 g/cm3
* crystal system: hexagonal



(5)
Here is a relaxed structure of Ga2TcH4 from the Alexandria database. Energies are from GGA-PBE.

Cell: 4.568 5.032 6.659 Å, 99.83 90.00 90.00°
Positions (direct):
Ga (0.750, 0.875, 0.929)
Ga (0.250, 0.125, 0.071)
Ga (0.250, 0.301, 0.476)
Ga (0.750, 0.699, 0.524)
Tc (0.750, 0.261, 0.247)
Tc (0.250, 0.739, 0.753)
H (0.250, 0.004, 0.604)
H (0.250, 0.686, 0.992)
H (0.462, 0.484, 0.788)
H (0.750, 0.996, 0.396)
H (0.038, 0.484, 0.788)
H (0.962, 0.516, 0.212)
H (0.538, 0.516, 0.212)
H (0.750, 0.314, 0.008)

Values from the calculation:
* total energy: -4.19 eV/atom
* SG: No. 11
* total magnetization: 0.00 μB per formula unit
* calculated density: 5.32 g/cm3
* crystal system: monoclinic



(6)
Here is a relaxed structure of Hf2Ti7Co2 from the Alexandria database. Energies are from GGA-PBE.

Cell: 4.935 4.935 9.003 Å, 80.98 80.98 116.02°
Last column: magnetic moment on the atom in μB.
Positions (direct):
Hf (0.797, 0.203, 0.500)  0.00
Hf (0.203, 0.797, 0.500)  0.00
Ti (0.239, 0.577, 0.165)  -0.18
Ti (0.423, 0.761, 0.835)  -0.18
Ti (0.761, 0.423, 0.835)  -0.18
Ti (0.577, 0.239, 0.165)  -0.18
Ti (0.000, 0.000, 0.000)  0.39
Ti (0.152, 0.152, 0.720)  0.08
Ti (0.848, 0.848, 0.280)  0.08
Co (0.637, 0.637, 0.597)  -0.01
Co (0.363, 0.363, 0.403)  -0.01

Values from the calculation:
* total energy: -8.12 eV/atom
* SG: No. 12
* total magnetization: 0.29 μB per formula unit
* calculated density: 7.14 g/cm3
* crystal system: monoclinic



(7)
Here is a relaxed structure of WAu2I2 from the Alexandria database. Energies are from GGA-PBE.

Cell: 5.840 5.840 5.790 Å, 59.72 59.72 90.00°
Last column: magnetic moment on the atom in μB.
Positions (direct):
I (0.750, 0.250, 0.500)  -0.05
I (0.250, 0.750, 0.500)  -0.05
Au (0.333, 0.333, 0.335)  0.00
Au (0.667, 0.667, 0.665)  0.00
W (0.000, 0.000, 0.000)  2.86

Values from the calculation:
* total energy: -3.27 eV/atom
* SG: No. 139
* total magnetization: 3.69 μB per formula unit
* energy relative to the elements, uncorrected: 1255 meV/atom
* excess energy over the best structure of this formula in the dataset: 122 meV per atom
* calculated density: 9.98 g/cm3
* crystal system: tetragonal



(8)
Here is a relaxed structure of CsVZn from the Alexandria database. Energies are from GGA-PBE.

Cell: 5.444 5.444 8.158 Å, 90.00 90.00 120.00°
Positions (direct):
Cs (0.667, 0.333, 0.000)
Cs (0.667, 0.333, 0.500)
Zn (0.333, 0.667, 0.337)
Zn (0.333, 0.667, 0.663)
V (0.000, 0.000, 0.388)
V (0.000, 0.000, 0.612)

Values from the calculation:
* total energy: -2.82 eV/atom
* SG: No. 187
* total magnetization: 0.00 μB per formula unit
* excess energy over the best structure of this formula in the dataset: 523 meV per atom
* calculated density: 3.95 g/cm3
* crystal system: hexagonal



(9)
Here is a relaxed structure of Sn3PPd from the Alexandria database. Energies are from GGA-PBE.

Cell: 5.143 5.143 5.143 Å, 90.00 90.00 90.00°
Positions (direct):
P (0.500, 0.500, 0.500)
Sn (0.000, 0.500, 0.000)
Sn (0.000, 0.000, 0.500)
Sn (0.500, 0.000, 0.000)
Pd (0.000, 0.000, 0.000)

Values from the calculation:
* total energy: -4.22 eV/atom
* SG: No. 221
* total magnetization: 0.00 μB per formula unit
* excess energy over the best structure of this formula in the dataset: 0 meV per atom
* calculated density: 6.03 g/cm3
* crystal system: cubic



(10)
Here is a relaxed structure of SrCeIr from the Alexandria database. Energies are from GGA-PBE.

Cell: 4.019 3.961 12.774 Å, 98.92 90.07 90.00°
Positions (direct):
Sr (0.749, 0.072, 0.144)
Sr (0.251, 0.928, 0.856)
Ce (0.249, 0.697, 0.394)
Ce (0.751, 0.303, 0.606)
Ir (0.749, 0.190, 0.380)
Ir (0.251, 0.810, 0.620)

Values from the calculation:
* total energy: -5.95 eV/atom
* SG: No. 12
* total magnetization: 0.01 μB per formula unit
* excess energy over the best structure of this formula in the dataset: 0 meV per atom
* calculated density: 6.94 g/cm3
* crystal system: monoclinic



(11)
Here is a relaxed structure of NaSmS2 from the Alexandria database. Energies are from GGA-PBE.

Cell: 7.094 7.094 7.094 Å, 33.41 33.41 33.41°
Positions (direct):
Na (0.500, 0.500, 0.500)
S (0.744, 0.744, 0.744)
S (0.256, 0.256, 0.256)
Sm (0.000, 0.000, 0.000)

Values from the calculation:
* total energy: -5.39 eV/atom
* SG: No. 166
* total magnetization: 0.00 μB per formula unit
* energy relative to the elements, uncorrected: -1815 meV/atom
* calculated density: 4.09 g/cm3
* crystal system: trigonal



(12)
Here is a relaxed structure of RbDyHg2 from the Alexandria database. Energies are from GGA-PBE.

Cell: 4.122 4.122 9.842 Å, 77.91 77.91 60.00°
Positions (direct):
Hg (0.734, 0.734, 0.797)
Hg (0.266, 0.266, 0.203)
Rb (0.500, 0.500, 0.500)
Dy (0.000, 0.000, 0.000)

Values from the calculation:
* total energy: -1.68 eV/atom
* SG: No. 166
* total magnetization: 0.00 μB per formula unit
* excess energy over the best structure of this formula in the dataset: 113 meV per atom
* calculated density: 7.67 g/cm3
* crystal system: trigonal